{
  "formula": "ScB12C3",
  "functional": "PBE",
  "state": "relaxed",
  "lattice_angstrom": [[-7.8814, 7.1295, -2.3920], [-9.3798, -0.1901, 5.5369], [-4.6301, 4.2154, 3.0166]],
  "species": ["C", "C", "C", "C", "C", "C", "B", "B", "B", "B", "B", "B", "B", "B", "B", "B", "B", "B", "B", "B", "B", "B", "B", "B", "B", "B", "B", "B", "B", "B", "Sc", "Sc"],
  "fractional_positions": [[0.2982, 0.0007, 0.0469], [0.0006, 0.6543, 0.0469], [0.6543, 0.2982, 0.0469], [0.1543, 0.5007, 0.5469], [0.7982, 0.1543, 0.5469], [0.5007, 0.7982, 0.5469], [0.5198, 0.9221, 0.5594], [0.4221, 0.0198, 0.0594], [0.3644, 0.4684, 0.3741], [0.8403, 0.7190, 0.0285], [0.5756, 0.6307, 0.5478], [0.7190, 0.4122, 0.0285], [0.4986, 0.4221, 0.0594], [0.1307, 0.0756, 0.0478], [0.2459, 0.5756, 0.5478], [0.9684, 0.8644, 0.8741], [0.9987, 0.5199, 0.5594], [0.9221, 0.9987, 0.5594], [0.8644, 0.2931, 0.8740], [0.4122, 0.8403, 0.0285], [0.0199, 0.4987, 0.0594], [0.3403, 0.9122, 0.5285], [0.7459, 0.1307, 0.0478], [0.2930, 0.9685, 0.8741], [0.9122, 0.2190, 0.5285], [0.4685, 0.7930, 0.3740], [0.7931, 0.3644, 0.3740], [0.2190, 0.3403, 0.5285], [0.0756, 0.7459, 0.0478], [0.6307, 0.2459, 0.5478], [0.1191, 0.1191, 0.6426], [0.6191, 0.6191, 0.1426]],
  "ef_mev_per_atom": 550.1,
  "energy_ev_per_atom": -6.583,
  "magnetic_moment_mub_per_fu": 0.0
}

***

{
  "formula": "TbRu2C",
  "functional": "PBE",
  "state": "relaxed",
  "lattice_angstrom": [[3.2532, 0.0000, 0.0000], [1.6266, 2.8173, 0.0000], [1.6266, 0.9391, 6.8505]],
  "species": ["Tb", "Ru", "Ru", "C"],
  "fractional_positions": [[0.5000, 0.5000, 0.5000], [0.7148, 0.7148, 0.8557], [0.2852, 0.2852, 0.1443], [0.0000, 0.0000, 0.0000]],
  "ef_mev_per_atom": 297.8,
  "energy_ev_per_atom": -7.804,
  "magnetic_moment_mub_per_fu": 0.4,
  "e_above_lowest_polymorph_mev_per_atom": 340
}